Compound: ThTl2Sn
Source: the Alexandria database
Functional: PBE
Structure: relaxed

```
4
Lattice="4.745 0.000 0.000 0.000 4.745 0.000 0.000 0.000 4.950" Properties=species:S:1:pos:R:3 pbc="T T T"
Th 0.000 0.000 0.000
Tl 0.000 2.373 2.475
Tl 2.373 0.000 2.475
Sn 2.373 2.373 0.000
```

Computed properties:
VASP energy: -4.30 eV/atom
Polymorph energy (0 for the lowest one): 0 meV/atom
Symmetry: P4/mmm
Energy of formation: -0.256 eV/atom

Compound: Th4TlSn
Source: the Alexandria database
Functional: PBE
Structure: relaxed

```
6
Lattice="4.195 0.000 0.000 0.000 4.197 0.000 -0.014 0.000 10.409" Properties=species:S:1:pos:R:3 pbc="T T T"
Th -0.001 0.000 1.573
Th 4.182 0.000 8.836
Th 2.091 2.099 3.603
Th 2.090 2.099 6.806
Tl -0.007 0.000 5.205
Sn 2.097 2.099 0.000
```

Computed properties:
VASP energy: -6.17 eV/atom
Polymorph energy (0 for the lowest one): 88 meV/atom
Symmetry: P2/m
Energy of formation: -0.167 eV/atom

Compound: Th4TlSn2
Source: the Alexandria database
Functional: PBE
Structure: relaxed

```
7
Lattice="2.423 1.399 11.620 -2.423 1.399 11.620 0.000 -2.798 11.620" Properties=species:S:1:pos:R:3 pbc="T T T"
Th 0.000 0.000 4.133
Th 0.000 0.000 10.518
Th 0.000 0.000 24.344
Th 0.000 0.000 30.728
Tl 0.000 0.000 17.431
Sn 0.000 0.000 14.101
Sn 0.000 0.000 20.760
```

Computed properties:
VASP energy: -5.79 eV/atom
Symmetry: R-3m
Energy of formation: -0.073 eV/atom

Compound: YThTlSn
Source: the Alexandria database
Functional: PBE
Structure: relaxed

```
4
Lattice="0.000 3.848 3.848 3.848 0.000 3.848 3.848 3.848 0.000" Properties=species:S:1:pos:R:3 pbc="T T T"
Y 0.000 0.000 0.000
Th 3.848 3.848 3.848
Tl 5.771 5.771 5.771
Sn 1.924 1.924 1.924
```

Computed properties:
VASP energy: -5.41 eV/atom
Symmetry: F-43m
Energy of formation: -0.344 eV/atom

Compound: Tm2Th2Sn7
Source: the Alexandria database
Functional: PBE
Structure: relaxed

```
11
Lattice="4.909 -5.742 0.000 4.909 5.742 0.000 0.000 0.000 6.249" Properties=species:S:1:pos:R:3 pbc="T T T"
Tm 4.909 2.961 0.000
Tm 4.909 -2.961 0.000
Th 3.066 0.000 3.125
Th 6.752 0.000 3.125
Sn 0.000 0.000 1.640
Sn 0.000 0.000 4.609
Sn 2.454 2.871 1.712
Sn 2.454 2.871 4.537
Sn 2.454 -2.871 1.712
Sn 2.454 -2.871 4.537
Sn 4.909 0.000 0.000
```

Computed properties:
VASP energy: -4.80 eV/atom
Symmetry: Cmmm
Energy of formation: -0.088 eV/atom

Compound: TmTh4Sn2
Source: the Alexandria database
Functional: PBE
Structure: relaxed

```
7
Lattice="-2.721 2.721 8.296 2.721 -2.721 8.296 2.721 2.721 -8.296" Properties=species:S:1:pos:R:3 pbc="T T T"
Tm 0.000 0.000 0.000
Th 2.721 0.000 0.000
Th 0.000 0.000 2.958
Th 0.000 2.721 0.000
Th 0.000 0.000 13.635
Sn 0.000 0.000 6.082
Sn 0.000 0.000 10.511
```

Computed properties:
VASP energy: -5.46 eV/atom
Symmetry: I4/mmm
Energy of formation: 0.565 eV/atom

Compound: Tm2Th2Sn3
Source: the Alexandria database
Functional: PBE
Structure: relaxed

```
7
Lattice="4.751 0.000 0.000 -0.003 5.806 0.000 -2.375 -1.355 7.868" Properties=species:S:1:pos:R:3 pbc="T T T"
Tm -0.002 0.189 1.701
Tm 2.375 4.262 6.167
Th 0.000 1.304 5.685
Th 2.373 3.148 2.184
Sn -0.001 2.903 0.000
Sn -0.001 4.052 4.226
Sn 2.374 0.400 3.642
```

Computed properties:
VASP energy: -5.48 eV/atom
Symmetry: P-1
Energy of formation: -0.371 eV/atom

Compound: TmThSn
Source: the Alexandria database
Functional: PBE
Structure: relaxed

```
3
Lattice="5.280 0.000 0.000 -2.640 4.572 0.000 0.000 0.000 3.650" Properties=species:S:1:pos:R:3 pbc="T T T"
Tm 0.000 0.000 0.000
Th 0.000 3.048 1.932
Sn 2.640 1.524 0.607
```

Computed properties:
VASP energy: -5.50 eV/atom
Polymorph energy (0 for the lowest one): 294 meV/atom
Symmetry: P3m1
Energy of formation: -0.201 eV/atom

Compound: TmTh3Sn5
Source: the Alexandria database
Functional: PBE
Structure: relaxed

```
18
Lattice="9.557 0.000 0.000 -4.779 8.277 0.000 0.000 0.000 6.419" Properties=species:S:1:pos:R:3 pbc="T T T"
Tm 0.000 0.000 0.000
Tm 0.000 0.000 3.209
Th -1.833 3.174 1.605
Th -2.946 5.102 4.814
Th 3.666 0.000 1.605
Th 1.833 3.174 4.814
Th 5.892 0.000 4.814
Th 2.946 5.102 1.605
Sn -1.317 2.281 4.814
Sn -3.462 5.996 1.605
Sn 2.634 0.000 4.814
Sn 1.317 2.281 1.605
Sn 0.000 5.518 0.000
Sn 0.000 5.518 3.209
Sn 4.779 2.759 0.000
Sn 4.779 2.759 3.209
Sn 6.924 0.000 1.605
Sn 3.462 5.996 4.814
```

Computed properties:
VASP energy: -5.79 eV/atom
Symmetry: P6_3/mcm
Energy of formation: -0.593 eV/atom

Compound: TmThSn
Source: the Alexandria database
Functional: PBE
Structure: relaxed

```
6
Lattice="1.700 -8.966 0.000 1.700 8.966 0.000 0.000 0.000 5.977" Properties=species:S:1:pos:R:3 pbc="T T T"
Tm 0.000 0.000 0.000
Tm 0.000 0.000 2.988
Th 1.700 2.987 4.483
Th 1.700 -2.987 1.494
Sn 1.700 6.213 4.483
Sn 1.700 -6.213 1.494
```

Computed properties:
VASP energy: -5.46 eV/atom
Polymorph energy (0 for the lowest one): 331 meV/atom
Symmetry: Cmcm
Energy of formation: -0.163 eV/atom

Compound: TmThSn
Source: the Alexandria database
Functional: PBE
Structure: relaxed

```
3
Lattice="-1.851 1.851 6.467 1.851 -1.851 6.467 1.851 1.851 -6.467" Properties=species:S:1:pos:R:3 pbc="T T T"
Tm 0.000 0.000 0.000
Th 0.000 0.000 8.928
Sn 0.000 0.000 4.585
```

Computed properties:
VASP energy: -5.60 eV/atom
Polymorph energy (0 for the lowest one): 189 meV/atom
Symmetry: I4mm
Energy of formation: -0.305 eV/atom

Compound: Tm5Th2Sn4
Source: the Alexandria database
Functional: PBE
Structure: relaxed

```
11
Lattice="13.060 -1.713 0.000 13.060 1.713 0.000 -0.090 0.000 7.438" Properties=species:S:1:pos:R:3 pbc="T T T"
Tm 0.000 0.000 0.000
Tm 6.867 0.000 1.486
Tm 9.316 0.000 6.236
Tm 16.714 0.000 1.201
Tm 19.163 0.000 5.952
Th 10.593 0.000 2.144
Th 15.437 0.000 5.294
Sn 4.640 0.000 3.671
Sn 12.157 0.000 4.953
Sn 13.874 0.000 2.485
Sn 21.390 0.000 3.767
```

Computed properties:
VASP energy: -5.02 eV/atom
Symmetry: C2/m
Energy of formation: -0.178 eV/atom